PBE SmThZnN3, relaxed; uncorrected formation energy = -967 meV/atom
1.0
-1.716 2.932 0.934
-3.370 -3.747 5.569
5.807 2.175 3.841
Sm Th Zn N
2 2 2 6
direct
0.250 0.166 0.195 Sm
0.750 0.834 0.805 Sm
0.250 0.641 0.186 Th
0.750 0.359 0.814 Th
0.250 0.093 0.589 Zn
0.750 0.907 0.411 Zn
0.750 0.864 0.135 N
0.250 0.136 0.865 N
0.250 0.812 0.526 N
0.750 0.188 0.474 N
0.750 0.411 0.140 N
0.250 0.589 0.860 N

=====

PBE ZnSi2Br, relaxed; energy above the lowest structure with this stoichiometry = 0.327 eV/atom; uncorrected formation energy = 392 meV/atom
1.0
6.538 0.038 0.023
5.277 3.860 0.023
5.277 1.741 3.445
Br Si Zn
1 2 1
direct
0.250 0.250 0.250 Br
0.034 0.034 0.034 Si
0.466 0.466 0.466 Si
0.750 0.750 0.750 Zn

=====

PBE Ba2YTe, relaxed; uncorrected formation energy = -575 meV/atom
1.0
-2.797 2.201 -2.076
-2.307 0.277 3.403
4.762 8.450 2.541
Ba Te Y
2 1 1
direct
0.000 0.000 0.953 Ba
0.500 0.500 0.307 Ba
0.000 0.000 0.555 Te
0.500 0.500 0.685 Y

=====

PBE SrMgAlZn2, relaxed; energy of formation from the pure elements = -229 meV/atom
1.0
-1.438 3.035 2.843
-1.916 -3.153 2.397
6.552 -0.541 0.487
Sr Mg Al Zn
1 1 1 2
direct
0.000 0.000 0.000 Sr
0.750 0.250 0.500 Mg
0.250 0.750 0.500 Al
0.611 0.611 0.222 Zn
0.389 0.389 0.778 Zn

=====

PBE PmDy7Y12, relaxed; energy of formation from the pure elements = 338 meV/atom; energy above the lowest structure with this stoichiometry = 0.054 eV/atom
1.0
6.504 0.000 1.882
-3.655 9.266 4.511
-0.806 0.000 10.905
Pm Dy Y
1 7 12
direct
0.000 0.000 0.000 Pm
0.792 0.166 0.137 Dy
0.071 0.863 0.303 Dy
0.374 0.303 0.834 Dy
0.500 0.000 0.000 Dy
0.626 0.697 0.166 Dy
0.929 0.137 0.697 Dy
0.208 0.834 0.863 Dy
0.735 0.479 0.066 Y
0.198 0.934 0.546 Y
0.291 0.214 0.211 Y
0.498 0.789 0.425 Y
0.744 0.546 0.521 Y
0.923 0.425 0.786 Y
0.077 0.575 0.214 Y
0.256 0.454 0.479 Y
0.502 0.211 0.575 Y
0.709 0.786 0.789 Y
0.802 0.066 0.454 Y
0.265 0.521 0.934 Y

=====

PBE CaZn2Ni, relaxed; energy of formation from the pure elements = 13 meV/atom
1.0
3.997 0.000 0.000
0.000 4.019 0.000
0.000 0.000 4.432
Ni Zn Ca
1 2 1
direct
0.000 0.500 0.500 Ni
0.000 0.000 0.000 Zn
0.500 0.500 0.000 Zn
0.500 0.000 0.500 Ca

=====

PBE LiIn2Hg, relaxed; energy of formation from the pure elements = -158 meV/atom
1.0
-2.762 -1.631 0.410
0.819 -1.949 -2.447
4.003 -5.370 5.616
Li Hg In
1 1 2
direct
0.000 0.000 0.512 Li
0.500 0.500 0.710 Hg
0.000 0.000 0.998 In
0.500 0.500 0.280 In

=====

PBE Zr3Co20B6, relaxed; energy of formation from the pure elements = -298 meV/atom
1.0
-5.743 1.015 4.784
-5.903 -4.694 -0.143
-1.094 -4.859 5.665
Zr Co B
3 20 6
direct
0.750 0.750 0.750 Zr
0.250 0.250 0.250 Zr
0.000 0.000 0.000 Zr
0.386 0.386 0.841 Co
0.159 0.614 0.614 Co
0.653 0.000 0.000 Co
0.653 0.347 0.000 Co
0.000 0.000 0.653 Co
0.386 0.841 0.386 Co
0.000 0.347 0.653 Co
0.653 0.000 0.347 Co
0.000 0.653 0.000 Co
0.000 0.000 0.347 Co
0.347 0.000 0.653 Co
0.000 0.347 0.000 Co
0.347 0.653 0.000 Co
0.347 0.000 0.000 Co
0.386 0.386 0.386 Co
0.614 0.614 0.159 Co
0.614 0.614 0.614 Co
0.614 0.159 0.614 Co
0.841 0.386 0.386 Co
0.000 0.653 0.347 Co
0.269 0.731 0.731 B
0.731 0.269 0.269 B
0.269 0.269 0.731 B
0.731 0.269 0.731 B
0.269 0.731 0.269 B
0.731 0.731 0.269 B

=====

Number 1: raw total energy -0.271 hartree per atom. Number 2: raw total energy -0.112 hartree per atom. Number 3: raw total energy -0.145 hartree per atom. Number 4: raw total energy -0.079 hartree per atom. Number 5: raw total energy -0.198 hartree per atom. Number 6: raw total energy -0.094 hartree per atom. Number 7: raw total energy -0.076 hartree per atom. Number 8: raw total energy -0.274 hartree per atom.